This record from Alexandria describes crystalline K3Tl4Au2 at its relaxed geometry. The functional is PBE.

Summary:
E_form (eV per atom): -0.1740
N(E_F) (states/eV/f.u.): 3.33
E_tot (eV per atom): -2.320
M_tot (μB per formula unit): 0.00
Symmetry: C2/m (12)
ΔE to the lowest computed polymorph (meV per atom): 0

Geometry as POSCAR:
```
K3Tl4Au2
1.0
6.085 -2.656 0.000
6.085 2.656 0.000
-4.656 0.000 8.869
K Tl Au
3 4 2
Direct
0.000 0.000 0.000
0.304 0.304 0.375
0.696 0.696 0.625
0.010 0.010 0.668
0.298 0.298 0.950
0.702 0.702 0.050
0.990 0.990 0.332
0.453 0.453 0.766
0.547 0.547 0.234
```